Arrangement one

First-principles (PBE-GGA) data for a relaxed GeSbTe2N crystal, as listed in Alexandria via LeMat-Bulk.

Unit cell a=5.2955 b=5.2955 c=5.3777 alpha=90.00 beta=90.00 gamma=90.00
Last column: nearest neighbours and their distance in Å.
Atoms (fractional coordinates):
Sb 0.0000 0.0000 0.5000  2 Ge 2.69
Ge 0.0000 0.0000 0.0000  4 Te 2.65, 2 Sb 2.69
Te 0.0000 0.5000 0.0000  2 Ge 2.65
Te 0.5000 0.0000 0.0000  2 Ge 2.65
N 0.5000 0.5000 0.5000  4 Sb 3.74, 8 Te 3.77

Arrangement two

First-principles (PBE-GGA) data for a relaxed GeSbTe2N crystal, as listed in Alexandria via LeMat-Bulk.

Unit cell a=4.7583 b=4.7583 c=4.8794 alpha=90.00 beta=90.00 gamma=90.00
Last column: nearest neighbours and their distance in Å.
Atoms (fractional coordinates):
Sb 0.0000 0.0000 0.5000  2 N 2.44
Ge 0.5000 0.5000 0.5000  4 Sb 3.36, 8 Te 3.41
Te 0.0000 0.5000 0.0000  2 N 2.38
Te 0.5000 0.0000 0.0000  2 N 2.38
N 0.0000 0.0000 0.0000  4 Te 2.38, 2 Sb 2.44

Quick one: most stable of them? arrangement two

Arrangement one

First-principles (PBE-GGA) data for a relaxed ScGeSe2N crystal, as listed in Alexandria via LeMat-Bulk.

Unit cell a=5.1134 b=5.1134 c=3.6163 alpha=90.00 beta=90.00 gamma=90.00
Last column: nearest neighbours and their distance in Å.
Atoms (fractional coordinates):
Sc 0.5000 0.5000 0.5000  8 Se 3.13
Ge 0.0000 0.0000 0.0000  2 N 1.81
Se 0.0000 0.5000 0.0000  2 Ge 2.56
Se 0.5000 0.0000 0.0000  2 Ge 2.56
N 0.0000 0.0000 0.5000  2 Ge 1.81

Arrangement two

First-principles (PBE-GGA) data for a relaxed ScGeSe2N crystal, as listed in Alexandria via LeMat-Bulk.

Unit cell a=5.2432 b=5.2432 c=4.1017 alpha=90.00 beta=90.00 gamma=90.00
Last column: nearest neighbours and their distance in Å.
Atoms (fractional coordinates):
Sc 0.0000 0.0000 0.0000  2 N 2.05
Ge 0.5000 0.5000 0.5000  8 Se 3.33, 4 N 3.71
Se 0.0000 0.5000 0.0000  2 Sc 2.62
Se 0.5000 0.0000 0.0000  2 Sc 2.62
N 0.0000 0.0000 0.5000  2 Sc 2.05

Quick one: most stable of them? arrangement one

Arrangement one

First-principles (PBE-GGA) data for a relaxed ScGeTeN2 crystal, as listed in Alexandria via LeMat-Bulk.

Unit cell a=3.9337 b=3.9337 c=5.6166 alpha=90.00 beta=90.00 gamma=90.00
Last column: nearest neighbours and their distance in Å.
Atoms (fractional coordinates):
Sc 0.5000 0.5000 0.5000  4 Te 2.78
Ge 0.0000 0.0000 0.0000  4 N 1.97
Te 0.0000 0.0000 0.5000  4 Sc 2.78, 2 Ge 2.81
N 0.0000 0.5000 0.0000  2 Ge 1.97
N 0.5000 0.0000 0.0000  2 Ge 1.97

Arrangement two

First-principles (PBE-GGA) data for a relaxed ScGeTeN2 crystal, as listed in Alexandria via LeMat-Bulk.

Unit cell a=4.1698 b=4.1698 c=5.9386 alpha=90.00 beta=90.00 gamma=90.00
Last column: nearest neighbours and their distance in Å.
Atoms (fractional coordinates):
Sc 0.0000 0.0000 0.0000  4 N 2.08
Ge 0.5000 0.5000 0.5000  4 Te 2.95
Te 0.0000 0.0000 0.5000  4 Ge 2.95, 2 Sc 2.97
N 0.0000 0.5000 0.0000  2 Sc 2.08
N 0.5000 0.0000 0.0000  2 Sc 2.08

Quick one: most stable of them? arrangement two